Entry from the Alexandria database: a geometry-optimized BaTc3Pt structure (PBE-GGA).

Lattice parameters (Å, degrees): 4.9078 4.9078 4.9078 90.00 90.00 90.00
Last column: nearest neighbours and their distance in Å.
Sites, in units of the cell vectors:
Ba  0.0000  0.0000  0.0000  12 Tc 3.47
Tc  0.0000  0.5000  0.5000  2 Pt 2.45
Tc  0.5000  0.0000  0.5000  2 Pt 2.45
Tc  0.5000  0.5000  0.0000  2 Pt 2.45
Pt  0.5000  0.5000  0.5000  6 Tc 2.45

Values from the calculation:
- E above lowest polymorph: 0.00 eV per formula unit
- Space group: Pm-3m